AlFeN2F after structural relaxation. Source: the Alexandria database, functional PBE with a Hubbard U.

Lattice parameters (Å, degrees): 3.7947 3.7947 3.6152 90.00 90.00 90.00
Fractional positions:
1 Al 0.0000 0.0000 0.0000
2 Fe 0.5000 0.5000 0.5000
3 N 0.0000 0.5000 0.0000
4 N 0.5000 0.0000 0.0000
5 F 0.0000 0.0000 0.5000

Values from the calculation:
Total DFT energy (no corrections)   -5.78 eV per atom
SG   P4/mmm (123)
Energy above the most stable polymorph in this dataset   0.00 kcal/mol of atoms
Fermi-level density of states   1.69 states/eV per cell